1.
## Ac8PRh3Cl4 (PBE)

Data for crystalline Ac8PRh3Cl4 at its relaxed geometry.

Calculated values
- Uncorrected energy: -5.50 eV/atom
- Formation energy from raw total energies: -1.27 eV/atom

abc: 8.771 8.771 9.341
angles: 118.03 118.03 60.00
Sites, in units of the cell vectors:
Ac1 0.225 0.740 0.705
Ac2 0.235 0.235 0.705
Ac3 0.260 0.260 0.295
Ac4 0.260 0.775 0.295
Ac5 0.740 0.225 0.705
Ac6 0.740 0.740 0.705
Ac7 0.765 0.765 0.295
Ac8 0.775 0.260 0.295
P1 0.500 0.500 0.500
Rh1 0.000 0.000 0.500
Rh2 0.000 0.500 0.500
Rh3 0.500 0.000 0.500
Cl1 0.000 0.000 0.000
Cl2 0.000 0.500 0.000
Cl3 0.500 0.000 0.000
Cl4 0.500 0.500 0.000



2.
## Nb2InAu (PBE)

Data for crystalline Nb2InAu at its relaxed geometry.

Calculated values
- Uncorrected energy: -6.44 eV/atom
- Formation energy: 0.103 eV per atom

abc: 9.874 9.874 9.874
angles: 17.55 17.55 17.55
Sites, in units of the cell vectors:
Nb1 0.000 0.000 0.000
Nb2 0.171 0.171 0.171
In1 0.752 0.752 0.752
Au1 0.585 0.585 0.585



3.
## PuMgSb (PBE)

Data for crystalline PuMgSb at its relaxed geometry.

Calculated values
- Uncorrected energy: -6.88 eV/atom
- Formation energy from raw total energies: -0.20 eV/atom
- ΔE to the lowest computed polymorph: 0.172 eV/atom

abc: 6.310 6.310 6.310
angles: 146.24 146.24 48.48
Sites, in units of the cell vectors:
Pu1 0.000 0.000 0.000
Mg1 0.692 0.692 0.000
Sb1 0.327 0.327 0.000



4.
## NdSc2Co9 (PBE)

Data for crystalline NdSc2Co9 at its relaxed geometry.

Calculated values
- Uncorrected energy: -6.99 eV/atom
- Formation energy: -0.207 eV per atom

abc: 8.424 8.424 8.424
angles: 34.04 34.04 34.04
Sites, in units of the cell vectors:
Nd1 0.000 0.000 0.000
Sc1 0.142 0.142 0.142
Sc2 0.858 0.858 0.858
Co1 0.078 0.588 0.588
Co2 0.336 0.336 0.336
Co3 0.412 0.412 0.922
Co4 0.412 0.922 0.412
Co5 0.500 0.500 0.500
Co6 0.588 0.078 0.588
Co7 0.588 0.588 0.078
Co8 0.664 0.664 0.664
Co9 0.922 0.412 0.412



5.
## MnTc2B (PBE)

Data for crystalline MnTc2B at its relaxed geometry.

Calculated values
- Uncorrected energy: -9.16 eV/atom
- Formation energy: -0.015 eV per atom

abc: 2.728 2.728 6.204
angles: 90.00 90.00 90.00
Sites, in units of the cell vectors:
Mn1 0.000 0.000 0.000
Tc1 0.500 0.500 0.285
Tc2 0.500 0.500 0.715
B1 0.000 0.000 0.500



6.
## CrSbP (PBE)

Data for crystalline CrSbP at its relaxed geometry.

Calculated values
- Uncorrected energy: -6.48 eV/atom
- Formation energy from raw total energies: -0.09 eV/atom
- ΔE to the lowest computed polymorph: 0.070 eV/atom

abc: 3.088 4.372 8.749
angles: 83.19 80.40 69.42
Sites, in units of the cell vectors:
Cr1 0.000 0.000 0.000
Cr2 0.348 0.480 0.812
Sb1 0.361 0.048 0.266
Sb2 0.509 0.490 0.501
P1 0.639 0.924 0.788
P2 0.714 0.554 0.015



7.
## V2Co2Ir (PBE)

Data for crystalline V2Co2Ir at its relaxed geometry.

Calculated values
- Uncorrected energy: -8.09 eV/atom
- Formation energy: 0.174 eV per atom
- ΔE to the lowest computed polymorph: 0.417 eV/atom

abc: 3.671 3.671 5.157
angles: 90.00 90.00 106.76
Sites, in units of the cell vectors:
V1 0.000 0.000 0.242
V2 0.000 0.000 0.758
Co1 0.319 0.681 0.500
Co2 0.681 0.319 0.500
Ir1 0.500 0.500 0.000



8.
## Ta2NbRu2 (PBE)

Data for crystalline Ta2NbRu2 at its relaxed geometry.

Calculated values
- Uncorrected energy: -10.52 eV/atom
- Formation energy: -0.050 eV per atom
- ΔE to the lowest computed polymorph: 0.036 eV/atom

abc: 6.737 6.737 2.930
angles: 90.00 90.00 140.64
Sites, in units of the cell vectors:
Ta1 0.120 0.880 0.000
Ta2 0.880 0.120 0.000
Nb1 0.500 0.500 0.500
Ru1 0.308 0.692 0.500
Ru2 0.692 0.308 0.500